Material: KSi2N
Method: DFT, PBE
State: relaxed

SG: I4_1/amd
VASP energy (eV/f.u.): -18.3
D(E_F) (states/eV per cell): 0.28

a b c (Å): 4.709 4.709 13.599
angles (deg): 90.00 90.00 90.00
Fractional positions:
K: 0.000 0.250 0.375
K: 0.000 0.750 0.625
K: 0.500 0.250 0.125
K: 0.500 0.750 0.875
Si: 0.000 0.000 0.000
Si: 0.000 0.500 0.000
Si: 0.250 0.250 0.750
Si: 0.250 0.750 0.250
Si: 0.500 0.000 0.500
Si: 0.500 0.500 0.500
Si: 0.750 0.250 0.750
Si: 0.750 0.750 0.250
N: 0.000 0.250 0.875
N: 0.000 0.750 0.125
N: 0.500 0.250 0.625
N: 0.500 0.750 0.375

---

Material: K3Si2N4
Method: DFT, PBE
State: relaxed

SG: C2/c
VASP energy (eV/f.u.): -52.4
D(E_F) (states/eV per cell): 5.79

a b c (Å): 8.682 8.682 5.564
angles (deg): 108.40 108.40 54.73
Fractional positions:
K: 0.150 0.850 0.750
K: 0.192 0.527 0.108
K: 0.473 0.808 0.392
K: 0.527 0.192 0.608
K: 0.808 0.473 0.892
K: 0.850 0.150 0.250
Si: 0.100 0.326 0.464
Si: 0.326 0.100 0.964
Si: 0.674 0.900 0.036
Si: 0.900 0.674 0.536
N: 0.151 0.512 0.581
N: 0.177 0.178 0.679
N: 0.178 0.177 0.179
N: 0.488 0.849 0.919
N: 0.512 0.151 0.081
N: 0.822 0.823 0.821
N: 0.823 0.822 0.321
N: 0.849 0.488 0.419

---

Material: K2SiN
Method: DFT, PBE
State: relaxed

SG: Fm-3m
D(E_F) (states/eV per cell): 16.24
Energy relative to the lowest polymorph listed for this composition (eV/atom): 1.102

a b c (Å): 7.539 7.539 7.539
angles (deg): 90.00 90.00 90.00
Fractional positions:
K: 0.250 0.250 0.250
K: 0.250 0.250 0.750
K: 0.250 0.750 0.250
K: 0.250 0.750 0.750
K: 0.750 0.250 0.250
K: 0.750 0.250 0.750
K: 0.750 0.750 0.250
K: 0.750 0.750 0.750
Si: 0.000 0.000 0.000
Si: 0.000 0.500 0.500
Si: 0.500 0.000 0.500
Si: 0.500 0.500 0.000
N: 0.000 0.000 0.500
N: 0.000 0.500 0.000
N: 0.500 0.000 0.000
N: 0.500 0.500 0.500

---

Material: K3Si3N5
Method: DFT, PBE
State: relaxed

SG: P-1
VASP energy (eV/f.u.): -68.4
D(E_F) (states/eV per cell): 0.00

a b c (Å): 5.580 7.219 8.235
angles (deg): 105.76 94.61 100.99
Fractional positions:
K: 0.128 0.325 0.411
K: 0.147 0.120 0.744
K: 0.335 0.928 0.115
K: 0.665 0.072 0.885
K: 0.853 0.880 0.256
K: 0.872 0.675 0.589
Si: 0.186 0.475 0.094
Si: 0.424 0.594 0.783
Si: 0.433 0.823 0.482
Si: 0.567 0.177 0.518
Si: 0.576 0.406 0.217
Si: 0.814 0.525 0.906
N: 0.147 0.541 0.896
N: 0.281 0.002 0.446
N: 0.317 0.274 0.070
N: 0.349 0.700 0.632
N: 0.418 0.623 0.277
N: 0.582 0.377 0.723
N: 0.651 0.300 0.368
N: 0.683 0.726 0.930
N: 0.719 0.998 0.554
N: 0.853 0.459 0.104